No. 1
First-principles (GGA-PBE) data for a geometry-optimized AcSiAg4 structure, as listed in Alexandria.

SG: F-43m
Calculated total energy, eV per atom: -3.51

Cell lengths 5.7077, 5.7077, 5.7077 Å; angles 60.00, 60.00, 60.00 degrees
Last column: nearest neighbours and their distance in Å.
Positions (direct):
Ac: 0.0000 0.0000 0.0000  12 Ag 3.35, 4 Si 3.50
Si: 0.2500 0.2500 0.2500  12 Ag 3.34, 4 Ac 3.50
Ag: 0.1272 0.6243 0.6243  6 Ag 2.84-2.87
Ag: 0.6243 0.1272 0.6243  6 Ag 2.84-2.87
Ag: 0.6243 0.6243 0.1272  6 Ag 2.84-2.87
Ag: 0.6243 0.6243 0.6243  6 Ag 2.84-2.87

***

No. 2
First-principles (GGA-PBE) data for a geometry-optimized SbAsBr2 structure, as listed in Alexandria.

Energy relative to the lowest polymorph listed for this composition, meV per atom: 506
SG: Cmmm

Cell lengths 3.4689, 6.1362, 9.6299 Å; angles 90.00, 90.00, 90.00 degrees
Last column: nearest neighbours and their distance in Å.
Positions (direct):
Sb: 0.0000 0.0000 0.0000  4 Br 3.16, 6 Sb 3.47-3.52
Sb: 0.5000 0.5000 0.0000  4 Br 3.16, 6 Sb 3.47-3.52
As: 0.0000 0.0000 0.5000  4 Br 2.78
As: 0.5000 0.5000 0.5000  4 Br 2.78
Br: 0.0000 0.5000 0.2738  2 As 2.78
Br: 0.0000 0.5000 0.7262  2 As 2.78
Br: 0.5000 0.0000 0.2738  2 As 2.78
Br: 0.5000 0.0000 0.7262  2 As 2.78

***

No. 3
First-principles (GGA-PBE) data for a geometry-optimized AcNdPS structure, as listed in Alexandria.

SG: Imm2
Calculated total energy, eV per atom: -6.12

Cell lengths 3.8617, 3.9382, 14.4215 Å; angles 90.00, 90.00, 90.00 degrees
Last column: nearest neighbours and their distance in Å.
Positions (direct):
Ac: 0.0000 0.0000 0.0000  2 P 3.06, 4 S 3.11
Ac: 0.5000 0.5000 0.5000  2 P 3.06, 4 S 3.11
Nd: 0.0000 0.5000 0.2570  2 S 2.98, 4 P 2.99
Nd: 0.5000 0.0000 0.7570  2 S 2.98, 4 P 2.99
P: 0.0000 0.5000 0.8372  4 Nd 2.99, 2 Ac 3.06
P: 0.5000 0.0000 0.3372  4 Nd 2.99, 2 Ac 3.06
S: 0.0000 0.0000 0.5994  2 Nd 2.98, 4 Ac 3.11
S: 0.5000 0.5000 0.0994  2 Nd 2.98, 4 Ac 3.11

***

No. 4
First-principles (GGA-PBE) data for a geometry-optimized SrLaPdRh structure, as listed in Alexandria.

SG: F-43m
DFT formation energy, eV/atom: -0.527

Cell lengths 7.2930, 7.2930, 7.2930 Å; angles 90.00, 90.00, 90.00 degrees
Last column: nearest neighbours and their distance in Å.
Positions (direct):
Sr: 0.0000 0.0000 0.0000  4 Rh 3.16, 4 Pd 3.16
Sr: 0.0000 0.5000 0.5000  4 Pd 3.16, 4 Rh 3.16
Sr: 0.5000 0.0000 0.5000  4 Pd 3.16, 4 Rh 3.16
Sr: 0.5000 0.5000 0.0000  4 Pd 3.16, 4 Rh 3.16
La: 0.0000 0.0000 0.5000  4 Rh 3.16, 4 Pd 3.16
La: 0.0000 0.5000 0.0000  4 Rh 3.16, 4 Pd 3.16
La: 0.5000 0.0000 0.0000  4 Rh 3.16, 4 Pd 3.16
La: 0.5000 0.5000 0.5000  4 Rh 3.16, 4 Pd 3.16
Pd: 0.2500 0.2500 0.7500  4 La 3.16, 4 Sr 3.16
Pd: 0.2500 0.7500 0.2500  4 La 3.16, 4 Sr 3.16
Pd: 0.7500 0.2500 0.2500  4 La 3.16, 4 Sr 3.16
Pd: 0.7500 0.7500 0.7500  4 La 3.16, 4 Sr 3.16
Rh: 0.2500 0.2500 0.2500  4 La 3.16, 4 Sr 3.16
Rh: 0.2500 0.7500 0.7500  4 La 3.16, 4 Sr 3.16
Rh: 0.7500 0.2500 0.7500  4 La 3.16, 4 Sr 3.16
Rh: 0.7500 0.7500 0.2500  4 La 3.16, 4 Sr 3.16

***

No. 5
First-principles (GGA-PBE) data for a geometry-optimized MnCdMo2 structure, as listed in Alexandria.

SG: C2/m
DFT formation energy, eV/atom: 0.417

Cell lengths 5.3981, 9.0929, 2.6819 Å; angles 90.00, 102.50, 90.00 degrees
Last column: nearest neighbours and their distance in Å.
Positions (direct):
Mn: 0.0000 0.0000 0.0000  2 Mn 2.68, 2 Cd 2.70, 4 Mo 2.83
Mn: 0.5000 0.5000 0.0000  2 Mn 2.68, 2 Cd 2.70, 4 Mo 2.83
Cd: 0.0000 0.5000 0.0000  2 Cd 2.68, 2 Mn 2.70, 4 Mo 2.83
Cd: 0.5000 0.0000 0.0000  2 Cd 2.68, 2 Mn 2.70, 4 Mo 2.83
Mo: 0.2500 0.2500 0.5000  4 Mo 2.68-2.70, 2 Cd 2.83, 2 Mn 2.83
Mo: 0.2500 0.7500 0.5000  4 Mo 2.68-2.70, 2 Cd 2.83, 2 Mn 2.83
Mo: 0.7500 0.2500 0.5000  4 Mo 2.68-2.70, 2 Cd 2.83, 2 Mn 2.83
Mo: 0.7500 0.7500 0.5000  4 Mo 2.68-2.70, 2 Cd 2.83, 2 Mn 2.83

***

No. 6
First-principles (GGA-PBE) data for a geometry-optimized La2YPt structure, as listed in Alexandria.

Energy relative to the lowest polymorph listed for this composition, meV per atom: 163
SG: R-3m
DFT formation energy, eV/atom: -0.486

Cell lengths 3.9731, 3.9731, 28.9574 Å; angles 90.00, 90.00, 120.00 degrees
Last column: nearest neighbours and their distance in Å.
Positions (direct):
La: 0.0000 0.0000 0.2297  3 Pt 2.93
La: 0.0000 0.0000 0.7703  3 Pt 2.93
La: 0.3333 0.6667 0.4370  3 Pt 2.93
La: 0.3333 0.6667 0.8964  3 Pt 2.93
La: 0.6667 0.3333 0.1036  3 Pt 2.93
La: 0.6667 0.3333 0.5630  3 Pt 2.93
Y: 0.0000 0.0000 0.0000  6 La 3.78, 6 Y 3.97
Y: 0.3333 0.6667 0.6667  6 La 3.78, 6 Y 3.97
Y: 0.6667 0.3333 0.3333  6 La 3.78, 6 Y 3.97
Pt: 0.0000 0.0000 0.5000  6 La 2.93
Pt: 0.3333 0.6667 0.1667  6 La 2.93
Pt: 0.6667 0.3333 0.8333  6 La 2.93

***

No. 7
First-principles (GGA-PBE) data for a geometry-optimized PmCdPdRu structure, as listed in Alexandria.

SG: F-43m
DFT formation energy, eV/atom: -0.229

Cell lengths 6.7804, 6.7804, 6.7804 Å; angles 90.00, 90.00, 90.00 degrees
Last column: nearest neighbours and their distance in Å.
Positions (direct):
Pm: 0.0000 0.0000 0.0000  4 Ru 2.94, 4 Pd 2.94
Pm: 0.0000 0.5000 0.5000  4 Pd 2.94, 4 Ru 2.94
Pm: 0.5000 0.0000 0.5000  4 Pd 2.94, 4 Ru 2.94
Pm: 0.5000 0.5000 0.0000  4 Pd 2.94, 4 Ru 2.94
Cd: 0.0000 0.0000 0.5000  4 Ru 2.94, 4 Pd 2.94
Cd: 0.0000 0.5000 0.0000  4 Ru 2.94, 4 Pd 2.94
Cd: 0.5000 0.0000 0.0000  4 Ru 2.94, 4 Pd 2.94
Cd: 0.5000 0.5000 0.5000  4 Ru 2.94, 4 Pd 2.94
Pd: 0.2500 0.2500 0.2500  4 Cd 2.94, 4 Pm 2.94
Pd: 0.2500 0.7500 0.7500  4 Cd 2.94, 4 Pm 2.94
Pd: 0.7500 0.2500 0.7500  4 Cd 2.94, 4 Pm 2.94
Pd: 0.7500 0.7500 0.2500  4 Cd 2.94, 4 Pm 2.94
Ru: 0.2500 0.2500 0.7500  4 Cd 2.94, 4 Pm 2.94
Ru: 0.2500 0.7500 0.2500  4 Cd 2.94, 4 Pm 2.94
Ru: 0.7500 0.2500 0.2500  4 Cd 2.94, 4 Pm 2.94
Ru: 0.7500 0.7500 0.7500  4 Cd 2.94, 4 Pm 2.94

***

No. 8
First-principles (GGA-PBE) data for a geometry-optimized PmSi3OsPd structure, as listed in Alexandria.

SG: Cmcm
Calculated total energy, eV per atom: -6.60

Cell lengths 7.3579, 7.3579, 5.6652 Å; angles 90.00, 90.00, 130.22 degrees
Last column: nearest neighbours and their distance in Å.
Positions (direct):
Pm: 0.2486 0.7514 0.7500  4 Si 2.88-3.13
Pm: 0.7514 0.2486 0.2500  4 Si 2.88-3.13
Si: 0.1995 0.1995 0.0000  2 Os 2.42, 2 Pd 2.46, 1 Si 2.47
Si: 0.1995 0.1995 0.5000  2 Os 2.42, 2 Pd 2.46, 1 Si 2.47
Si: 0.2878 0.7122 0.2500  1 Os 2.23, 1 Pd 2.25
Si: 0.7122 0.2878 0.7500  1 Os 2.23, 1 Pd 2.25
Si: 0.8005 0.8005 0.0000  2 Os 2.42, 2 Pd 2.46, 1 Si 2.47
Si: 0.8005 0.8005 0.5000  2 Os 2.42, 2 Pd 2.46, 1 Si 2.47
Os: 0.4545 0.5455 0.2500  5 Si 2.23-2.42
Os: 0.5455 0.4545 0.7500  5 Si 2.23-2.42
Pd: 0.1191 0.8809 0.2500  5 Si 2.25-2.46
Pd: 0.8809 0.1191 0.7500  5 Si 2.25-2.46

***

Copy entry 8 word for word.
First-principles (GGA-PBE) data for a geometry-optimized PmSi3OsPd structure, as listed in Alexandria.

SG: Cmcm
Calculated total energy, eV per atom: -6.60

Cell lengths 7.3579, 7.3579, 5.6652 Å; angles 90.00, 90.00, 130.22 degrees
Last column: nearest neighbours and their distance in Å.
Positions (direct):
Pm: 0.2486 0.7514 0.7500  4 Si 2.88-3.13
Pm: 0.7514 0.2486 0.2500  4 Si 2.88-3.13
Si: 0.1995 0.1995 0.0000  2 Os 2.42, 2 Pd 2.46, 1 Si 2.47
Si: 0.1995 0.1995 0.5000  2 Os 2.42, 2 Pd 2.46, 1 Si 2.47
Si: 0.2878 0.7122 0.2500  1 Os 2.23, 1 Pd 2.25
Si: 0.7122 0.2878 0.7500  1 Os 2.23, 1 Pd 2.25
Si: 0.8005 0.8005 0.0000  2 Os 2.42, 2 Pd 2.46, 1 Si 2.47
Si: 0.8005 0.8005 0.5000  2 Os 2.42, 2 Pd 2.46, 1 Si 2.47
Os: 0.4545 0.5455 0.2500  5 Si 2.23-2.42
Os: 0.5455 0.4545 0.7500  5 Si 2.23-2.42
Pd: 0.1191 0.8809 0.2500  5 Si 2.25-2.46
Pd: 0.8809 0.1191 0.7500  5 Si 2.25-2.46